one | This record from Alexandria via LeMat-Bulk describes crystalline ZnP2Se at its relaxed geometry. The functional is PBE-GGA.

Cell and atoms, written as POSCAR:
```
ZnP2Se
1.0
3.749 0.000 0.000
-1.874 3.246 0.000
0.000 0.000 6.609
Zn P Se
1 2 1
Direct
0.000 0.000 0.000
0.000 0.000 0.642
0.333 0.667 0.485
0.667 0.333 0.166
```

## Properties
As for the density of states at the Fermi level: 0.4 states/eV/f.u.


two | This record from Alexandria via LeMat-Bulk describes crystalline ZnP2Se at its relaxed geometry. The functional is PBE-GGA.

Cell and atoms, written as POSCAR:
```
ZnP2Se
1.0
-1.710 1.710 8.254
1.710 -1.710 8.254
1.710 1.710 -8.254
Zn P Se
1 2 1
Direct
0.000 0.000 0.000
0.250 0.750 0.500
0.750 0.250 0.500
0.500 0.500 0.000
```

## Properties
As for the density of states at the Fermi level: 2.2 states/eV/f.u.


We find one to be the most stable, with the next structure 400 meV per atom higher.


one | This record from Alexandria via LeMat-Bulk describes crystalline ZnP2Se at its relaxed geometry. The functional is PBE-GGA.

Cell and atoms, written as POSCAR:
```
ZnP2Se
1.0
4.262 0.000 0.000
0.000 3.542 0.000
-1.938 0.000 5.876
Zn P Se
1 2 1
Direct
0.000 0.000 0.000
0.554 0.500 0.426
0.601 0.000 0.203
0.035 0.500 0.730
```

## Properties
As for the density of states at the Fermi level: 0.1 states/eV/f.u.


two | This record from Alexandria via LeMat-Bulk describes crystalline ZnP2Se at its relaxed geometry. The functional is PBE-GGA.

Cell and atoms, written as POSCAR:
```
ZnP2Se
1.0
2.656 0.000 0.000
0.000 5.243 0.000
0.000 0.000 5.669
Zn P Se
1 2 1
Direct
0.000 0.000 0.000
0.500 0.196 0.500
0.500 0.804 0.500
0.000 0.500 0.000
```

## Properties
As for the density of states at the Fermi level: 1.8 states/eV/f.u.


We find one to be the most stable, with the next structure 511 meV per atom higher.


one | This record from Alexandria via LeMat-Bulk describes crystalline ZnP2Se6 at its relaxed geometry. The functional is PBE-GGA.

Cell and atoms, written as POSCAR:
```
ZnP2Se6
1.0
6.632 -6.681 0.000
6.632 6.681 0.000
-2.738 0.000 5.454
Zn P Se
2 4 12
Direct
0.209 0.791 0.750
0.791 0.209 0.250
0.198 0.367 0.699
0.367 0.198 0.199
0.633 0.802 0.801
0.802 0.633 0.301
0.020 0.183 0.593
0.151 0.590 0.899
0.183 0.020 0.093
0.291 0.416 0.420
0.410 0.849 0.601
0.416 0.291 0.920
0.584 0.709 0.080
0.590 0.151 0.399
0.709 0.584 0.580
0.817 0.980 0.907
0.849 0.410 0.101
0.980 0.817 0.407
```


two | This record from Alexandria via LeMat-Bulk describes crystalline ZnP2Se6 at its relaxed geometry. The functional is PBE-GGA.

Cell and atoms, written as POSCAR:
```
ZnP2Se6
1.0
6.496 0.000 0.000
-3.248 5.625 0.000
0.000 0.000 7.761
Zn P Se
1 2 6
Direct
0.000 0.000 0.000
0.333 0.667 0.934
0.667 0.333 0.066
0.166 0.332 0.767
0.166 0.834 0.767
0.332 0.166 0.233
0.668 0.834 0.767
0.834 0.166 0.233
0.834 0.668 0.233
```

## Properties
As for the density of states at the Fermi level: 7.6 states/eV/f.u.


We find one to be the most stable, with the next structure 241 meV per atom higher.


one | This record from Alexandria via LeMat-Bulk describes crystalline Si5P at its relaxed geometry. The functional is PBE-GGA.

Cell and atoms, written as POSCAR:
```
Si5P
1.0
5.588 -1.413 0.000
5.588 1.413 0.000
-1.103 0.000 6.019
Si P
5 1
Direct
0.000 0.000 0.000
0.226 0.226 0.758
0.522 0.522 0.647
0.608 0.608 0.304
0.825 0.825 0.473
0.344 0.344 0.113
```

## Properties
As for the density of states at the Fermi level: 1.1 states/eV/f.u.


two | This record from Alexandria via LeMat-Bulk describes crystalline Si5P at its relaxed geometry. The functional is PBE-GGA.

Cell and atoms, written as POSCAR:
```
Si5P
1.0
4.802 0.000 0.000
-2.401 4.159 0.000
0.000 0.000 4.843
Si P
5 1
Direct
0.000 0.500 0.000
0.333 0.667 0.500
0.500 0.000 0.000
0.500 0.500 0.000
0.667 0.333 0.500
0.000 0.000 0.500
```

## Properties
As for the density of states at the Fermi level: 2.4 states/eV/f.u.


We find one to be the most stable, with the next structure 235 meV per atom higher.


one | This record from Alexandria via LeMat-Bulk describes crystalline Si3P5 at its relaxed geometry. The functional is PBE-GGA.

Cell and atoms, written as POSCAR:
```
Si3P5
1.0
3.346 -3.355 0.000
3.346 3.355 0.000
0.000 0.000 5.773
Si P
3 5
Direct
0.000 0.000 0.000
0.252 0.748 0.500
0.748 0.252 0.500
0.000 0.500 0.000
0.247 0.247 0.500
0.500 0.000 0.000
0.500 0.500 0.000
0.753 0.753 0.500
```

## Properties
As for the density of states at the Fermi level: 3.4 states/eV/f.u.


two | This record from Alexandria via LeMat-Bulk describes crystalline Si3P5 at its relaxed geometry. The functional is PBE-GGA.

Cell and atoms, written as POSCAR:
```
Si3P5
1.0
6.677 0.000 0.000
3.260 6.639 0.000
2.721 -0.091 7.202
Si P
6 10
Direct
0.000 0.000 0.000
0.050 0.000 0.492
0.145 0.510 0.725
0.409 0.230 0.047
0.581 0.787 0.066
0.635 0.506 0.696
0.046 0.300 0.559
0.202 0.035 0.167
0.222 0.540 0.190
0.233 0.675 0.912
0.369 0.683 0.511
0.503 0.248 0.731
0.547 0.516 0.242
0.658 0.001 0.196
0.752 0.745 0.751
0.914 0.308 0.872
```


We find two to be the most stable, with the next structure 401 meV per atom higher.